No. 1
A plane-wave DFT calculation with PBE-GGA was carried out for a relaxed structure of BeTlRe.

Lattice parameters (Å, degrees): 5.3958 5.3958 5.3958 146.17 146.17 48.59
Element x y z (fractional)
1 Be 0.0000 0.0000 0.0000
2 Tl 0.7193 0.7193 0.0000
3 Re 0.4263 0.4263 0.0000

Results
ΔH_f (0 K) in eV/atom: 0.63
Distance to the lowest polymorph of the same formula in eV per atom: 0.000

=====

No. 2
A plane-wave DFT calculation with PBE-GGA was carried out for a relaxed structure of Be3TlRe.

Lattice parameters (Å, degrees): 4.3717 4.3717 4.3717 90.00 90.00 90.00
Element x y z (fractional)
1 Be 0.0000 0.0000 0.5000
2 Be 0.0000 0.5000 0.0000
3 Be 0.5000 0.0000 0.0000
4 Tl 0.5000 0.5000 0.5000
5 Re 0.0000 0.0000 0.0000

Results
ΔH_f (0 K) in eV/atom: 1.00
Distance to the lowest polymorph of the same formula in eV per atom: 0.000

=====

No. 3
A plane-wave DFT calculation with PBE-GGA was carried out for a relaxed structure of Be2TlRe.

Lattice parameters (Å, degrees): 4.4745 4.4745 4.6299 99.31 99.31 42.85
Element x y z (fractional)
1 Be 0.2067 0.2067 0.0864
2 Be 0.7933 0.7933 0.9136
3 Tl 0.0000 0.0000 0.5000
4 Re 0.5000 0.5000 0.0000

Results
ΔH_f (0 K) in eV/atom: 0.52
Distance to the lowest polymorph of the same formula in eV per atom: 0.171

=====

No. 4
A plane-wave DFT calculation with PBE-GGA was carried out for a relaxed structure of BeTlRe2.

Lattice parameters (Å, degrees): 4.6100 4.6100 4.6100 126.02 126.02 79.85
Element x y z (fractional)
1 Be 0.0000 0.0000 0.0000
2 Tl 0.7500 0.2500 0.5000
3 Re 0.2500 0.7500 0.5000
4 Re 0.5000 0.5000 0.0000

Results
ΔH_f (0 K) in eV/atom: 0.81
Distance to the lowest polymorph of the same formula in eV per atom: 0.503

=====

What did the third record say?
A plane-wave DFT calculation with PBE-GGA was carried out for a relaxed structure of Be2TlRe.

Lattice parameters (Å, degrees): 4.4745 4.4745 4.6299 99.31 99.31 42.85
Element x y z (fractional)
1 Be 0.2067 0.2067 0.0864
2 Be 0.7933 0.7933 0.9136
3 Tl 0.0000 0.0000 0.5000
4 Re 0.5000 0.5000 0.0000

Results
ΔH_f (0 K) in eV/atom: 0.52
Distance to the lowest polymorph of the same formula in eV per atom: 0.171